[1]
## Lu3Co2 (PBE)

Data for an optimized crystal structure of Lu3Co2.

Cell: 7.013 7.013 7.013 Å, 54.96 54.96 54.96°
Element x y z (fractional)
Lu 0.111 0.750 0.389
Lu 0.250 0.611 0.889
Lu 0.389 0.111 0.750
Lu 0.611 0.889 0.250
Lu 0.750 0.389 0.111
Lu 0.889 0.250 0.611
Co 0.180 0.180 0.180
Co 0.320 0.320 0.320
Co 0.680 0.680 0.680
Co 0.820 0.820 0.820

## Properties
Energy   -5.718 eV per atom
Formation energy from the elements   -0.1607 eV per atom
Space group   No. 167

---

[2]
## Pa2Bi2O5 (PBE)

Data for an optimized crystal structure of Pa2Bi2O5.

Cell: 4.315 4.315 9.272 Å, 90.00 90.00 90.00°
Element x y z (fractional)
Pa 0.000 0.000 0.242
Pa 0.000 0.000 0.758
Bi 0.500 0.500 0.000
Bi 0.500 0.500 0.500
O 0.000 0.000 0.000
O 0.000 0.500 0.251
O 0.000 0.500 0.749
O 0.500 0.000 0.251
O 0.500 0.000 0.749

## Properties
Energy   -7.345 eV per atom
Space group   No. 123

---

[3]
## AgBAu (PBE)

Data for an optimized crystal structure of AgBAu.

Cell: 3.992 3.992 3.992 Å, 60.00 60.00 60.00°
Element x y z (fractional)
Ag 0.000 0.000 0.000
B 0.250 0.250 0.250
Au 0.500 0.500 0.500

## Properties
Energy   -3.579 eV per atom
Polymorph energy (0 for the lowest one)   0.00 kcal/mol of atoms
Space group   No. 216

---

[4]
## YZrGe (PBE)

Data for an optimized crystal structure of YZrGe.

Cell: 4.715 4.715 4.715 Å, 60.00 60.00 60.00°
Element x y z (fractional)
Y 0.000 0.000 0.000
Zr 0.500 0.500 0.500
Ge 0.250 0.250 0.250

## Properties
Energy   -6.937 eV per atom
Space group   No. 216

---

[5]
## AcIrNO (PBE)

Data for an optimized crystal structure of AcIrNO.

Cell: 4.075 4.075 8.073 Å, 90.00 90.00 90.00°
Element x y z (fractional)
Ac 0.250 0.250 0.166
Ac 0.750 0.750 0.834
Ir 0.250 0.750 0.500
Ir 0.750 0.250 0.500
N 0.250 0.250 0.581
N 0.750 0.750 0.419
O 0.250 0.750 0.000
O 0.750 0.250 0.000

## Properties
Energy   -7.699 eV per atom
Polymorph energy (0 for the lowest one)   2.17 kcal/mol of atoms
Space group   No. 129

---

[6]
## KPm2 (PBE)

Data for an optimized crystal structure of KPm2.

Cell: 7.197 7.197 7.197 Å, 60.00 60.00 60.00°
Element x y z (fractional)
K 0.125 0.125 0.125
K 0.875 0.875 0.875
Pm 0.000 0.500 0.500
Pm 0.500 0.000 0.500
Pm 0.500 0.500 0.000
Pm 0.500 0.500 0.500

## Properties
Energy   -3.005 eV per atom
Space group   No. 227

---

[7]
## Er2Zn15Au2 (PBE)

Data for an optimized crystal structure of Er2Zn15Au2.

Cell: 6.798 6.798 6.798 Å, 82.86 82.86 82.86°
Element x y z (fractional)
Er 0.160 0.160 0.160
Er 0.840 0.840 0.840
Zn 0.000 0.500 0.500
Zn 0.146 0.146 0.664
Zn 0.146 0.664 0.146
Zn 0.202 0.500 0.798
Zn 0.202 0.798 0.500
Zn 0.336 0.854 0.854
Zn 0.500 0.000 0.500
Zn 0.500 0.202 0.798
Zn 0.500 0.500 0.000
Zn 0.500 0.798 0.202
Zn 0.664 0.146 0.146
Zn 0.798 0.202 0.500
Zn 0.798 0.500 0.202
Zn 0.854 0.336 0.854
Zn 0.854 0.854 0.336
Au 0.388 0.388 0.388
Au 0.612 0.612 0.612

## Properties
Energy   -2.094 eV per atom
Formation energy from the elements   -0.2710 eV per atom
Space group   No. 166

---

[8]
## AlCoGe (PBE)

Data for an optimized crystal structure of AlCoGe.

Cell: 4.021 4.021 4.021 Å, 60.00 60.00 60.00°
Element x y z (fractional)
Al 0.000 0.000 0.000
Co 0.500 0.500 0.500
Ge 0.250 0.250 0.250

## Properties
Energy   -5.056 eV per atom
Polymorph energy (0 for the lowest one)   9.08 kcal/mol of atoms
Space group   No. 216

---

[9]
## TaBeSbTe (PBE)

Data for an optimized crystal structure of TaBeSbTe.

Cell: 4.878 4.878 4.878 Å, 60.00 60.00 60.00°
Element x y z (fractional)
Ta 0.000 0.000 0.000
Be 0.250 0.250 0.250
Sb 0.750 0.750 0.750
Te 0.500 0.500 0.500

## Properties
Energy   -4.747 eV per atom
Polymorph energy (0 for the lowest one)   7.77 kcal/mol of atoms
Space group   No. 216

---

[10]
## HoBeGa (PBE)

Data for an optimized crystal structure of HoBeGa.

Cell: 4.599 4.599 4.599 Å, 60.00 60.00 60.00°
Element x y z (fractional)
Ho 0.000 0.000 0.000
Be 0.750 0.750 0.750
Ga 0.250 0.250 0.250

## Properties
Energy   -3.317 eV per atom
Polymorph energy (0 for the lowest one)   17.35 kcal/mol of atoms
Space group   No. 216

---

[11]
## ZnNiSnS3 (PBE)

Data for an optimized crystal structure of ZnNiSnS3.

Cell: 6.695 6.695 9.186 Å, 90.00 90.00 147.58°
Element x y z (fractional)
Zn 0.024 0.976 0.750
Zn 0.976 0.024 0.250
Ni 0.500 0.500 0.000
Ni 0.500 0.500 0.500
Sn 0.260 0.740 0.250
Sn 0.740 0.260 0.750
S 0.130 0.870 0.548
S 0.130 0.870 0.952
S 0.418 0.582 0.750
S 0.582 0.418 0.250
S 0.870 0.130 0.048
S 0.870 0.130 0.452

## Properties
Energy   -4.118 eV per atom
Polymorph energy (0 for the lowest one)   0.18 kcal/mol of atoms
Space group   No. 63

---

[12]
## GdSc2O4 (PBE)

Data for an optimized crystal structure of GdSc2O4.

Cell: 6.448 6.448 6.448 Å, 60.00 60.00 60.00°
Element x y z (fractional)
Gd 0.125 0.125 0.125
Gd 0.875 0.875 0.875
Sc 0.000 0.500 0.500
Sc 0.500 0.000 0.500
Sc 0.500 0.500 0.000
Sc 0.500 0.500 0.500
O 0.263 0.263 0.263
O 0.263 0.263 0.711
O 0.263 0.711 0.263
O 0.289 0.737 0.737
O 0.711 0.263 0.263
O 0.737 0.289 0.737
O 0.737 0.737 0.289
O 0.737 0.737 0.737

## Properties
Energy   -8.575 eV per atom
Space group   No. 227

---

[13]
## RbThNb (PBE)

Data for an optimized crystal structure of RbThNb.

Cell: 5.300 5.300 5.300 Å, 60.00 60.00 60.00°
Element x y z (fractional)
Rb 0.000 0.000 0.000
Th 0.500 0.500 0.500
Nb 0.250 0.250 0.250

## Properties
Energy   -4.411 eV per atom
Space group   No. 216

---

[14]
## Rb2Cd3Te4 (PBE)

Data for an optimized crystal structure of Rb2Cd3Te4.

Cell: 10.634 10.634 13.040 Å, 107.64 107.64 93.22°
Element x y z (fractional)
Rb 0.000 0.000 0.000
Rb 0.000 0.000 0.500
Rb 0.245 0.249 0.864
Rb 0.249 0.245 0.364
Rb 0.499 0.501 0.750
Rb 0.501 0.499 0.250
Rb 0.751 0.755 0.636
Rb 0.755 0.751 0.136
Cd 0.112 0.592 0.302
Cd 0.125 0.648 0.590
Cd 0.140 0.621 0.043
Cd 0.352 0.875 0.910
Cd 0.379 0.860 0.457
Cd 0.408 0.888 0.198
Cd 0.592 0.112 0.802
Cd 0.621 0.140 0.543
Cd 0.648 0.125 0.090
Cd 0.860 0.379 0.957
Cd 0.875 0.352 0.410
Cd 0.888 0.408 0.698
Te 0.110 0.392 0.622
Te 0.115 0.885 0.750
Te 0.117 0.381 0.108
Te 0.154 0.846 0.250
Te 0.347 0.619 0.500
Te 0.381 0.117 0.608
Te 0.381 0.653 0.000
Te 0.392 0.110 0.122
Te 0.608 0.890 0.878
Te 0.619 0.347 0.000
Te 0.619 0.883 0.392
Te 0.653 0.381 0.500
Te 0.846 0.154 0.750
Te 0.883 0.619 0.892
Te 0.885 0.115 0.250
Te 0.890 0.608 0.378

## Properties
Energy   -2.606 eV per atom
Space group   No. 15

---

[15]
## POsPbO (PBE)

Data for an optimized crystal structure of POsPbO.

Cell: 4.214 4.214 9.517 Å, 90.00 90.00 90.00°
Element x y z (fractional)
P 0.250 0.250 0.225
P 0.750 0.750 0.775
Os 0.250 0.250 0.448
Os 0.750 0.750 0.552
Pb 0.250 0.750 0.000
Pb 0.750 0.250 0.000
O 0.250 0.750 0.500
O 0.750 0.250 0.500

## Properties
Energy   -5.944 eV per atom
Polymorph energy (0 for the lowest one)   20.43 kcal/mol of atoms
Space group   No. 129

---

[16]
## Ba3TcN4 (PBE)

Data for an optimized crystal structure of Ba3TcN4.

Cell: 8.086 7.411 6.009 Å, 90.00 90.00 90.00°
Element x y z (fractional)
Ba 0.000 0.118 0.000
Ba 0.238 0.344 0.504
Ba 0.262 0.656 0.004
Ba 0.500 0.882 0.500
Ba 0.738 0.656 0.004
Ba 0.762 0.344 0.504
Tc 0.000 0.827 0.466
Tc 0.500 0.173 0.966
N 0.000 0.076 0.511
N 0.000 0.799 0.161
N 0.190 0.717 0.567
N 0.310 0.283 0.067
N 0.500 0.201 0.661
N 0.500 0.924 0.011
N 0.690 0.283 0.067
N 0.810 0.717 0.567

## Properties
Energy   -6.727 eV per atom
Space group   No. 31

---

[17]
## KGdTm (PBE)

Data for an optimized crystal structure of KGdTm.

Cell: 5.857 5.857 5.857 Å, 60.00 60.00 60.00°
Element x y z (fractional)
K 0.000 0.000 0.000
Gd 0.500 0.500 0.500
Tm 0.750 0.750 0.750

## Properties
Energy   -2.239 eV per atom
Polymorph energy (0 for the lowest one)   0.00 kcal/mol of atoms
Space group   No. 216

---

[18]
## Pr5Pt2 (PBE)

Data for an optimized crystal structure of Pr5Pt2.

Cell: 9.301 9.301 7.308 Å, 96.40 96.40 42.88°
Element x y z (fractional)
Pr 0.068 0.932 0.750
Pr 0.149 0.289 0.313
Pr 0.289 0.149 0.813
Pr 0.300 0.513 0.072
Pr 0.487 0.700 0.428
Pr 0.513 0.300 0.572
Pr 0.700 0.487 0.928
Pr 0.711 0.851 0.187
Pr 0.851 0.711 0.687
Pr 0.932 0.068 0.250
Pt 0.087 0.690 0.425
Pt 0.310 0.913 0.075
Pt 0.690 0.087 0.925
Pt 0.913 0.310 0.575

## Properties
Energy   -5.821 eV per atom
Formation energy from the elements   -0.6799 eV per atom
Space group   No. 15

---

[19]
## InCuNiGe (PBE)

Data for an optimized crystal structure of InCuNiGe.

Cell: 4.510 4.510 4.510 Å, 60.00 60.00 60.00°
Element x y z (fractional)
In 0.000 0.000 0.000
Cu 0.500 0.500 0.500
Ni 0.750 0.750 0.750
Ge 0.250 0.250 0.250

## Properties
Energy   -3.892 eV per atom
Polymorph energy (0 for the lowest one)   3.79 kcal/mol of atoms
Space group   No. 216

---

[20]
## Rb3IrN6O12 (PBE)

Data for an optimized crystal structure of Rb3IrN6O12.

Cell: 7.336 7.336 7.336 Å, 60.00 60.00 60.00°
Element x y z (fractional)
Rb 0.000 0.000 0.000
Rb 0.250 0.250 0.250
Rb 0.750 0.750 0.750
Ir 0.500 0.500 0.500
N 0.306 0.306 0.694
N 0.306 0.694 0.306
N 0.306 0.694 0.694
N 0.694 0.306 0.306
N 0.694 0.306 0.694
N 0.694 0.694 0.306
O 0.090 0.500 0.500
O 0.090 0.500 0.910
O 0.090 0.910 0.500
O 0.500 0.090 0.500
O 0.500 0.090 0.910
O 0.500 0.500 0.090
O 0.500 0.500 0.910
O 0.500 0.910 0.090
O 0.500 0.910 0.500
O 0.910 0.090 0.500
O 0.910 0.500 0.090
O 0.910 0.500 0.500

## Properties
Energy   -4.675 eV per atom
Space group   No. 225

---

[21]
## Sc3CdB2 (PBE)

Data for an optimized crystal structure of Sc3CdB2.

Cell: 3.323 3.323 22.601 Å, 90.00 90.00 120.00°
Element x y z (fractional)
Sc 0.000 0.000 0.000
Sc 0.000 0.000 0.500
Sc 0.333 0.667 0.132
Sc 0.333 0.667 0.368
Sc 0.667 0.333 0.632
Sc 0.667 0.333 0.868
Cd 0.000 0.000 0.250
Cd 0.000 0.000 0.750
B 0.333 0.667 0.571
B 0.333 0.667 0.929
B 0.667 0.333 0.071
B 0.667 0.333 0.429

## Properties
Energy   -5.580 eV per atom
Space group   No. 194

---

[22]
## YTaTl (PBE)

Data for an optimized crystal structure of YTaTl.

Cell: 4.850 4.850 4.850 Å, 60.00 60.00 60.00°
Element x y z (fractional)
Y 0.000 0.000 0.000
Ta 0.500 0.500 0.500
Tl 0.750 0.750 0.750

## Properties
Energy   -6.128 eV per atom
Polymorph energy (0 for the lowest one)   0.00 kcal/mol of atoms
Space group   No. 216

---

[23]
## BeNb2Hg (PBE)

Data for an optimized crystal structure of BeNb2Hg.

Cell: 4.604 4.604 4.604 Å, 60.00 60.00 60.00°
Element x y z (fractional)
Be 0.000 0.000 0.000
Nb 0.500 0.500 0.500
Nb 0.750 0.750 0.750
Hg 0.250 0.250 0.250

## Properties
Energy   -5.448 eV per atom
Space group   No. 216